No. 1
## TiPS2I (GGA-PBEsol)

Data for a relaxed TiPS2I crystal.

Properties
DFT total energy   -5.06 eV/atom
E above lowest polymorph   0.0 meV/atom
M_tot   0.000 μB per formula unit
Formation energy without anion corrections   -132 meV per atom

a b c (Å): 4.5278 4.5278 5.2091
angles (deg): 90.00 90.00 90.00
Sites, in units of the cell vectors:
Ti1 0.0000 0.0000 0.0000
P1 0.0000 0.0000 0.5000
S1 0.0000 0.5000 0.0000
S2 0.5000 0.0000 0.0000
I1 0.5000 0.5000 0.5000

No. 2
## Rb3GaC (GGA-PBEsol)

Data for a relaxed Rb3GaC crystal.

Properties
DFT total energy   -2.10 eV/atom
Formation energy from the elements   107.5 kJ per mole of atoms
M_tot   2.236 μB per formula unit

a b c (Å): 5.9577 5.9577 5.9577
angles (deg): 90.00 90.00 90.00
Sites, in units of the cell vectors:
Rb1 0.0000 0.0000 0.5000
Rb2 0.0000 0.5000 0.0000
Rb3 0.5000 0.0000 0.0000
Ga1 0.5000 0.5000 0.5000
C1 0.0000 0.0000 0.0000

No. 3
## CuRe2Hg (GGA-PBEsol)

Data for a relaxed CuRe2Hg crystal.

Properties
DFT total energy   -7.09 eV/atom
Formation energy from the elements   77.6 kJ per mole of atoms
M_tot   0.001 μB per formula unit

a b c (Å): 5.0327 5.0327 2.7173
angles (deg): 90.00 90.00 117.98
Sites, in units of the cell vectors:
Cu1 0.0000 0.0000 0.0000
Re1 0.0000 0.5000 0.5000
Re2 0.5000 0.0000 0.5000
Hg1 0.5000 0.5000 0.0000

No. 4
## MnAgCl2 (GGA-PBEsol)

Data for a relaxed MnAgCl2 crystal.

Properties
DFT total energy   -4.39 eV/atom
E above lowest polymorph   224.4 meV/atom
M_tot   4.795 μB per formula unit
Formation energy without anion corrections   -116 meV per atom

a b c (Å): 3.0686 3.0686 8.7964
angles (deg): 90.00 90.00 90.00
Sites, in units of the cell vectors:
Mn1 0.0000 0.0000 0.0000
Ag1 0.0000 0.0000 0.5000
Cl1 0.5000 0.5000 0.1729
Cl2 0.5000 0.5000 0.8271

No. 5
## Fe2NiSe4 (GGA-PBEsol)

Data for a relaxed Fe2NiSe4 crystal.

Properties
DFT total energy   -5.94 eV/atom
M_tot   1.989 μB per formula unit
Formation energy without anion corrections   -303 meV per atom

a b c (Å): 6.0545 6.0545 6.0688
angles (deg): 117.73 117.73 33.84
Sites, in units of the cell vectors:
Fe1 0.0000 0.0000 0.0000
Fe2 0.7369 0.7369 0.7136
Ni1 0.4727 0.4727 0.4246
Se1 0.1071 0.1071 0.7453
Se2 0.3711 0.3711 0.6921
Se3 0.6205 0.6205 0.2591
Se4 0.8517 0.8517 0.1596

No. 6
## CaMgB3 (GGA-PBEsol)

Data for a relaxed CaMgB3 crystal.

Properties
DFT total energy   -3.43 eV/atom
Formation energy from the elements   149.6 kJ per mole of atoms
E above lowest polymorph   0.0 meV/atom
M_tot   0.000 μB per formula unit

a b c (Å): 4.3064 4.3064 4.3064
angles (deg): 90.00 90.00 90.00
Sites, in units of the cell vectors:
Ca1 0.0000 0.0000 0.0000
Mg1 0.5000 0.5000 0.5000
B1 0.0000 0.5000 0.5000
B2 0.5000 0.0000 0.5000
B3 0.5000 0.5000 0.0000

No. 7
## MgFe4Mo (GGA-PBEsol)

Data for a relaxed MgFe4Mo crystal.

Properties
DFT total energy   -8.17 eV/atom
Formation energy from the elements   5.3 kJ per mole of atoms
M_tot   5.655 μB per formula unit

a b c (Å): 4.6977 4.6977 4.6977
angles (deg): 60.00 60.00 60.00
Sites, in units of the cell vectors:
Mg1 0.0000 0.0000 0.0000
Fe1 0.1256 0.6248 0.6248
Fe2 0.6248 0.1256 0.6248
Fe3 0.6248 0.6248 0.1256
Fe4 0.6248 0.6248 0.6248
Mo1 0.2500 0.2500 0.2500

No. 8
## Nb3TlFe (GGA-PBEsol)

Data for a relaxed Nb3TlFe crystal.

Properties
DFT total energy   -6.31 eV/atom
Formation energy from the elements   241.1 kJ per mole of atoms
M_tot   3.759 μB per formula unit

a b c (Å): 5.0186 5.0186 5.0186
angles (deg): 90.00 90.00 90.00
Sites, in units of the cell vectors:
Nb1 0.0000 0.0000 0.5000
Nb2 0.0000 0.5000 0.0000
Nb3 0.5000 0.0000 0.0000
Tl1 0.0000 0.0000 0.0000
Fe1 0.5000 0.5000 0.5000

No. 9
## Ti3N2 (GGA-PBEsol)

Data for a relaxed Ti3N2 crystal.

Properties
DFT total energy   -10.05 eV/atom
M_tot   0.000 μB per formula unit
Formation energy without anion corrections   -1644 meV per atom

a b c (Å): 5.6227 5.6227 5.6227
angles (deg): 54.44 54.44 54.44
Sites, in units of the cell vectors:
Ti1 0.0726 0.7500 0.4274
Ti2 0.2500 0.5726 0.9274
Ti3 0.4274 0.0726 0.7500
Ti4 0.5726 0.9274 0.2500
Ti5 0.7500 0.4274 0.0726
Ti6 0.9274 0.2500 0.5726
N1 0.1594 0.1594 0.1594
N2 0.3406 0.3406 0.3406
N3 0.6594 0.6594 0.6594
N4 0.8406 0.8406 0.8406

No. 10
## ZrMnW2 (GGA-PBEsol)

Data for a relaxed ZrMnW2 crystal.

Properties
DFT total energy   -11.53 eV/atom
Formation energy from the elements   7.9 kJ per mole of atoms
E above lowest polymorph   0.0 meV/atom
M_tot   0.001 μB per formula unit

a b c (Å): 4.4378 4.4378 4.4378
angles (deg): 60.00 60.00 60.00
Sites, in units of the cell vectors:
Zr1 0.0000 0.0000 0.0000
Mn1 0.7500 0.7500 0.7500
W1 0.2500 0.2500 0.2500
W2 0.5000 0.5000 0.5000

No. 11
## TaIr3 (GGA-PBEsol)

Data for a relaxed TaIr3 crystal.

Properties
DFT total energy   -11.19 eV/atom
Formation energy from the elements   -66.0 kJ per mole of atoms
M_tot   0.000 μB per formula unit

a b c (Å): 5.5204 5.5204 4.4356
angles (deg): 90.00 90.00 120.00
Sites, in units of the cell vectors:
Ta1 0.3333 0.6667 0.2500
Ta2 0.6667 0.3333 0.7500
Ir1 0.1640 0.3280 0.7500
Ir2 0.1640 0.8360 0.7500
Ir3 0.3280 0.1640 0.2500
Ir4 0.6720 0.8360 0.7500
Ir5 0.8360 0.1640 0.2500
Ir6 0.8360 0.6720 0.2500

No. 12
## LiAlO2 (GGA-PBEsol)

Data for a relaxed LiAlO2 crystal.

Properties
DFT total energy   -6.85 eV/atom
M_tot   0.000 μB per formula unit
Formation energy without anion corrections   -2714 meV per atom

a b c (Å): 3.8613 3.8613 24.9713
angles (deg): 90.00 90.00 90.00
Sites, in units of the cell vectors:
Li1 0.0000 0.0000 0.0000
Li2 0.0000 0.0000 0.3326
Li3 0.0000 0.0000 0.6674
Li4 0.0000 0.5000 0.0889
Li5 0.0000 0.5000 0.2446
Li6 0.0000 0.5000 0.5828
Li7 0.5000 0.0000 0.4172
Li8 0.5000 0.0000 0.7554
Li9 0.5000 0.0000 0.9111
Li10 0.5000 0.5000 0.1668
Li11 0.5000 0.5000 0.5000
Li12 0.5000 0.5000 0.8332
Al1 0.0000 0.0000 0.1666
Al2 0.0000 0.0000 0.5000
Al3 0.0000 0.0000 0.8334
Al4 0.0000 0.5000 0.4165
Al5 0.0000 0.5000 0.7499
Al6 0.0000 0.5000 0.9170
Al7 0.5000 0.0000 0.0830
Al8 0.5000 0.0000 0.2501
Al9 0.5000 0.0000 0.5835
Al10 0.5000 0.5000 0.0000
Al11 0.5000 0.5000 0.3329
Al12 0.5000 0.5000 0.6671
O1 0.0000 0.0000 0.0913
O2 0.0000 0.0000 0.2420
O3 0.0000 0.0000 0.4245
O4 0.0000 0.0000 0.5755
O5 0.0000 0.0000 0.7580
O6 0.0000 0.0000 0.9087
O7 0.0000 0.5000 0.1666
O8 0.0000 0.5000 0.3412
O9 0.0000 0.5000 0.4922
O10 0.0000 0.5000 0.6752
O11 0.0000 0.5000 0.8333
O12 0.0000 0.5000 0.9915
O13 0.5000 0.0000 0.0085
O14 0.5000 0.0000 0.1667
O15 0.5000 0.0000 0.3248
O16 0.5000 0.0000 0.5078
O17 0.5000 0.0000 0.6588
O18 0.5000 0.0000 0.8334
O19 0.5000 0.5000 0.0762
O20 0.5000 0.5000 0.2568
O21 0.5000 0.5000 0.4086
O22 0.5000 0.5000 0.5914
O23 0.5000 0.5000 0.7432
O24 0.5000 0.5000 0.9238

No. 13
## BaSr2 (GGA-PBEsol)

Data for a relaxed BaSr2 crystal.

Properties
DFT total energy   -1.88 eV/atom
Formation energy from the elements   5.9 kJ per mole of atoms
E above lowest polymorph   58.2 meV/atom
M_tot   0.001 μB per formula unit

a b c (Å): 7.8817 7.8817 7.8817
angles (deg): 60.00 60.00 60.00
Sites, in units of the cell vectors:
Ba1 0.1250 0.1250 0.1250
Ba2 0.8750 0.8750 0.8750
Sr1 0.0000 0.5000 0.5000
Sr2 0.5000 0.0000 0.5000
Sr3 0.5000 0.5000 0.0000
Sr4 0.5000 0.5000 0.5000